A plane-wave DFT calculation with GGA-PBE was carried out for an optimized crystal structure of ZnIn5.

Structure (extended XYZ):
```
6
Lattice="5.3713 -2.2945 0.0000 5.3713 2.2945 0.0000 -2.7580 0.0000 6.1735" Properties=species:S:1:pos:R:3 pbc="T T T"
Zn 0.0000 0.0000 0.0000
In -1.3790 0.0000 3.0867
In 2.9155 0.0000 1.0673
In 1.8986 0.0000 4.3048
In 6.0859 0.0000 1.8687
In 5.0690 0.0000 5.1062
```

Results
ΔH_f (0 K) = 0.063 eV per atom
SG = C2/m
Size of the total moment = 0.000 μB per atom
Total DFT energy (no corrections) = -2.4315 eV/atom
Density = 7.0 g cm⁻³